VASP calculation (PBE with a Hubbard U) on a relaxed UTiCrO6 crystal.

For the mass density, the calculation gives 6.65 g/cm³. Its final energy is -8.933 eV/atom. The total magnetic moment comes out at 0.44 μB/atom.

It has space group P-31c (No. 163), with a = 5.3338 Å, b = 5.3338 Å, c = 8.7900 Å, α = 90.00°, β = 90.00° and γ = 120.00°. Symmetry generates all atoms from U at (0.3333, 0.6667, 0.2500), Ti at (0.3333, 0.6667, 0.7500), Cr at (0.0000, 0.0000, 0.0000) and O at (0.0181, 0.3467, 0.6300).